Entry 1:
## SrLi2Ag (PBE)

Data for a relaxed SrLi2Ag crystal.

Geometry as extended XYZ:
```
4
Lattice="-2.387 -2.219 -3.327 2.263 -2.494 -3.218 -0.391 -6.168 1.107" Properties=species:S:1:pos:R:3 pbc="T T T"
Ag -0.073 -1.981 -1.889
Li -0.437 -8.834 -3.596
Li -0.134 -4.841 -6.454
Sr -0.253 -5.378 -2.765
```

Summary:
- Density of states at the Fermi level: 1.994 states/eV/f.u.
- Final energy: -2.23 eV per atom
- Formation energy from the elements: -0.143 eV per atom
- Size of the total moment: 0.00 μB per formula unit

=====

Entry 2:
## PrTmCCl (PBE)

Data for a relaxed PrTmCCl crystal.

Geometry as extended XYZ:
```
4
Lattice="3.668 0.000 0.000 -1.833 3.177 0.000 -1.834 -1.058 7.076" Properties=species:S:1:pos:R:3 pbc="T T T"
Tm -1.487 2.944 0.396
Pr 0.346 -0.232 4.805
C -1.487 0.827 6.321
Cl 2.180 0.827 2.415
```

Summary:
- Density of states at the Fermi level: 2.223 states/eV/f.u.
- Final energy: -6.12 eV per atom
- Size of the total moment: 0.00 μB per formula unit

=====

Entry 3:
## CaB2OsO8 (PBE)

Data for a relaxed CaB2OsO8 crystal.

Geometry as extended XYZ:
```
12
Lattice="4.954 0.000 0.000 -2.477 4.290 0.000 0.000 0.000 6.557" Properties=species:S:1:pos:R:3 pbc="T T T"
O -1.192 3.548 5.408
O 0.000 2.860 3.469
O 2.477 1.430 3.088
O 0.000 1.484 5.408
O 3.669 0.742 1.149
O 2.477 2.806 1.149
O 1.285 0.742 1.149
O 1.192 3.548 5.408
Ca 0.000 0.000 3.279
B 2.477 1.430 1.672
B 0.000 2.860 4.885
Os 0.000 0.000 0.000
```

Summary:
- Density of states at the Fermi level: 6.413 states/eV/f.u.
- Final energy: -7.15 eV per atom
- Size of the total moment: 1.00 μB per formula unit

=====

Entry 4:
## Li2CaAs (PBE)

Data for a relaxed Li2CaAs crystal.

Geometry as extended XYZ:
```
4
Lattice="-5.279 -1.572 -1.282 -0.571 -5.456 -1.376 2.006 3.185 4.221" Properties=species:S:1:pos:R:3 pbc="T T T"
Li -0.276 -0.331 -0.125
Li -2.650 -3.183 -1.204
Ca -3.099 -0.950 0.805
As -0.745 -2.892 0.758
```

Summary:
- Density of states at the Fermi level: 1.721 states/eV/f.u.
- Final energy: -3.12 eV per atom
- Formation energy from the elements: -0.501 eV per atom
- Size of the total moment: 0.00 μB per formula unit